(1)
DFT (PBE-GGA) results for crystalline Li2CePuO6 at its relaxed geometry.

Lattice parameters (Å, degrees): 5.4764 5.9970 8.2754 90.00 90.59 90.00
Last column: nearest neighbours and their distance in Å.
Element x y z (fractional)
O  0.8673  0.4930  0.2444  1 Li 1.99, 1 Pu 2.16
O  0.8405  0.7896  0.9437  1 Pu 2.00, 1 Li 2.00
O  0.6327  0.9930  0.2556  1 Li 1.99, 1 Pu 2.16
O  0.1920  0.1805  0.4320  1 Li 1.97, 1 Pu 2.08
O  0.1595  0.2104  0.0563  1 Pu 2.00, 1 Li 2.00
O  0.8080  0.8195  0.5680  1 Li 1.97, 1 Pu 2.08
O  0.1327  0.5070  0.7556  1 Li 1.99, 1 Pu 2.16
O  0.3080  0.6805  0.0680  1 Li 1.97, 1 Pu 2.08
O  0.3673  0.0070  0.7444  1 Li 1.99, 1 Pu 2.16
O  0.3405  0.7104  0.4437  1 Pu 2.00, 1 Li 2.00
O  0.6595  0.2896  0.5563  1 Pu 2.00, 1 Li 2.00
O  0.6920  0.3195  0.9320  1 Li 1.97, 1 Pu 2.08
Ce  0.0000  0.5000  0.5000  6 O 2.23-2.30
Ce  0.5000  0.0000  0.0000  6 O 2.23-2.30
Li  0.0308  0.8822  0.7501  3 O 1.97-2.00
Li  0.9692  0.1178  0.2499  3 O 1.97-2.00
Li  0.4692  0.3822  0.7499  3 O 1.97-2.00
Li  0.5308  0.6178  0.2501  3 O 1.97-2.00
Pu  0.5000  0.0000  0.5000  6 O 2.00-2.16
Pu  0.0000  0.5000  0.0000  6 O 2.00-2.16

## Properties
VASP energy   -8.00 eV/atom

***

(2)
DFT (PBE-GGA) results for crystalline Rb2LiCeO4 at its relaxed geometry.

Lattice parameters (Å, degrees): 7.1721 7.1721 7.3692 118.86 118.86 86.26
Last column: nearest neighbours and their distance in Å.
Element x y z (fractional)
O  0.8051  0.7288  0.0029  1 Ce 2.08
O  0.7712  0.6949  0.4971  1 Ce 2.08
O  0.1949  0.2712  0.9971  1 Ce 2.08
O  0.7858  0.3289  0.5662  1 Li 2.29, 2 Ce 2.38-2.41
O  0.2288  0.3051  0.5029  1 Ce 2.08
O  0.8289  0.2858  0.0662  1 Li 2.29, 2 Ce 2.38-2.41
O  0.2142  0.6711  0.4338  1 Li 2.29, 2 Ce 2.38-2.41
O  0.1712  0.7142  0.9338  1 Li 2.29, 2 Ce 2.38-2.41
Rb  0.5000  0.0000  0.0000  6 O 2.83-3.17
Rb  0.5000  0.0000  0.5000  6 O 2.83-3.17
Rb  0.0000  0.0000  0.5000  6 O 2.70-2.81
Rb  0.5000  0.5000  0.0000  6 O 2.70-2.81
Ce  0.0000  0.5000  0.5000  2 O 2.08
Ce  0.0000  0.5000  0.0000  2 O 2.08
Li  0.5000  0.5000  0.5000  4 O 2.29-2.48
Li  0.0000  0.0000  0.0000  4 O 2.29-2.48

## Properties
VASP energy   -5.62 eV/atom

***

(3)
DFT (PBE-GGA) results for crystalline RbLi2CeO4 at its relaxed geometry.

Lattice parameters (Å, degrees): 3.9228 3.9228 7.3532 90.00 90.00 90.00
Last column: nearest neighbours and their distance in Å.
Element x y z (fractional)
O  0.5000  0.0000  0.8134  2 Li 1.97
O  0.0000  0.5000  0.8134  2 Li 1.97
O  0.0000  0.5000  0.1866  2 Li 1.97
O  0.5000  0.0000  0.1866  2 Li 1.97
Li  0.5000  0.5000  0.7877  4 O 1.97
Li  0.5000  0.5000  0.2123  4 O 1.97
Rb  0.0000  0.0000  0.5000  8 O 3.03
Ce  0.0000  0.0000  0.0000  8 O 2.39

## Properties
VASP energy   -5.91 eV/atom

***

Q: Look up the VASP energy of the first one.
A: -8.00 eV/atom

***

Q: Which formula does entry 1 have?
A: Li2CePuO6

***

Q: What is the formula in the second record?
A: Rb2LiCeO4